VASP calculation (PBE) on a relaxed structure of Ac8Ni2Pb.

POSCAR file:
```
Ac8Ni2Pb
1.0
4.663 -7.313 0.000
4.663 7.313 0.000
-1.420 0.000 5.927
Ac Ni Pb
8 2 1
direct
0.000 0.000 0.000
0.053 0.313 0.615
0.145 0.635 0.200
0.313 0.053 0.615
0.467 0.727 0.784
0.635 0.145 0.200
0.727 0.467 0.784
0.779 0.779 0.399
0.096 0.683 0.699
0.683 0.096 0.699
0.390 0.390 0.199
```

***

VASP calculation (PBE) on a relaxed structure of Ac4Ni2Pb.

POSCAR file:
```
Ac4Ni2Pb
1.0
0.000 7.007 7.306
4.839 0.000 7.306
4.839 7.007 0.000
Ac Ni Pb
8 4 2
direct
0.147 0.274 0.297
0.217 0.703 0.726
0.274 0.147 0.783
0.297 0.783 0.147
0.703 0.217 0.853
0.726 0.853 0.217
0.783 0.297 0.274
0.853 0.726 0.703
0.000 0.000 0.000
0.000 0.000 0.500
0.000 0.500 0.000
0.500 0.000 0.000
0.375 0.375 0.375
0.625 0.625 0.625
```

***

VASP calculation (PBE) on a relaxed structure of Ac6Ni2Pb.

POSCAR file:
```
Ac6Ni2Pb
1.0
-5.023 5.557 5.599
5.023 -5.557 5.599
5.023 5.557 -5.599
Ac Ni Pb
12 4 2
direct
0.019 0.222 0.797
0.177 0.298 0.476
0.177 0.702 0.879
0.327 0.015 0.688
0.327 0.639 0.312
0.426 0.222 0.203
0.574 0.778 0.797
0.673 0.361 0.688
0.673 0.985 0.312
0.823 0.298 0.121
0.823 0.702 0.524
0.981 0.778 0.203
0.118 0.618 0.500
0.368 0.000 0.368
0.632 0.000 0.632
0.882 0.382 0.500
0.000 0.000 0.000
0.500 0.500 0.000
```

***

VASP calculation (PBE) on a relaxed structure of AcNiPb3.

POSCAR file:
```
AcNiPb3
1.0
5.272 0.000 0.000
0.000 5.272 0.000
0.000 0.000 5.272
Ac Ni Pb
1 1 3
direct
0.000 0.000 0.000
0.500 0.500 0.500
0.000 0.500 0.500
0.500 0.000 0.500
0.500 0.500 0.000
```

***

VASP calculation (PBE) on a relaxed structure of Ac8Ni2Pb3.

POSCAR file:
```
Ac8Ni2Pb3
1.0
3.717 2.146 10.485
-3.717 2.146 10.485
0.000 -4.292 10.485
Ac Ni Pb
8 2 3
direct
0.195 0.195 0.195
0.233 0.233 0.715
0.233 0.715 0.233
0.285 0.767 0.767
0.715 0.233 0.233
0.767 0.285 0.767
0.767 0.767 0.285
0.805 0.805 0.805
0.110 0.110 0.110
0.890 0.890 0.890
0.300 0.300 0.300
0.500 0.500 0.500
0.700 0.700 0.700
```

***

VASP calculation (PBE) on a relaxed structure of Ac12Ni6Pb.

POSCAR file:
```
Ac12Ni6Pb
1.0
-5.365 5.365 5.365
5.365 -5.365 5.365
5.365 5.365 -5.365
Ac Ni Pb
12 6 1
direct
0.131 0.818 0.313
0.182 0.313 0.495
0.182 0.687 0.869
0.313 0.131 0.818
0.313 0.495 0.182
0.495 0.182 0.313
0.505 0.818 0.687
0.687 0.505 0.818
0.687 0.869 0.182
0.818 0.313 0.131
0.818 0.687 0.505
0.869 0.182 0.687
0.117 0.617 0.500
0.383 0.500 0.883
0.500 0.117 0.617
0.500 0.883 0.383
0.617 0.500 0.117
0.883 0.383 0.500
0.000 0.000 0.000
```

***

| no. | total energy (eV/cell) |
| --- | --- |
| 1 | -49.166 |
| 2 | -66.073 |
| 3 | -83.904 |
| 4 | -21.496 |
| 5 | -56.696 |
| 6 | -92.511 |